Below is a geometry-optimized Mn4SnSe8 structure, with properties calculated at the GGA-PBE level.

Unit cell a=7.2972 b=7.2972 c=8.0823 alpha=63.16 beta=63.16 gamma=60.00
Last column: nearest neighbours and their distance in Å.
Positions (direct):
1 Se 0.7630 0.7630 0.2069  3 Mn 2.54-2.56
2 Se 0.2370 0.7328 0.7931  3 Mn 2.54-2.56
3 Se 0.7630 0.2672 0.2069  3 Mn 2.54-2.56
4 Se 0.2672 0.7630 0.2069  3 Mn 2.54-2.56
5 Se 0.7328 0.2370 0.7931  3 Mn 2.54-2.56
6 Mn 0.0000 0.0000 0.0000  6 Se 2.56
7 Se 0.2673 0.2673 0.1982  3 Mn 2.51
8 Mn 0.5000 0.5000 0.0000  6 Se 2.51-2.54
9 Mn 0.0000 0.5000 0.0000  6 Se 2.51-2.54
10 Mn 0.5000 0.0000 0.0000  6 Se 2.51-2.54
11 Se 0.7327 0.7327 0.8018  3 Mn 2.51
12 Sn 0.5000 0.5000 0.5000  6 Se 2.91
13 Se 0.2370 0.2370 0.7931  3 Mn 2.54-2.56

Calculated values
energy	-5.71	eV/atom
ΔE_f (raw)	-5.680	eV per formula unit
calculated density	5.06	g cm⁻³